Compound: Nd2O3
Source: Alexandria via LeMat-Bulk
Functional: GGA-PBEsol
Structure: optimized geometry

Lattice parameters (Å, degrees): 14.276 3.669 8.939 90.00 99.77 90.00
Space group C2/m (No. 12)
Symmetry-distinct sites (fractional):
Nd1 0.034 0.000 0.311 [4 per cell]
Nd2 0.135 0.500 0.989 [4 per cell]
Nd3 0.190 0.500 0.638 [4 per cell]
O1 0.000 0.500 0.500 [2 per cell]
O2 0.025 0.500 0.155 [4 per cell]
O3 0.130 0.000 0.787 [4 per cell]
O4 0.176 0.000 0.474 [4 per cell]
O5 0.202 0.000 0.128 [4 per cell]

Values from the calculation:
The total magnetization is 0.000 μB per atom. The electronic total energy is -8.586 eV per atom. The value obtained for the formation energy without anion corrections is -3.370 eV per atom.